(1)
First-principles (PBE) data for an optimized crystal structure of ZrVTeN2, as listed in Alexandria.

Results
For the energy above the lowest structure with this stoichiometry, the calculation gives 0.00 eV per formula unit. As for the space-group type: P4/mmm. Its uncorrected formation energy is 266.4 meV per atom. The value obtained for the density of states at the Fermi level is 3.7 states/eV per cell.

Cell: 3.937 3.937 5.222 Å, 90.00 90.00 90.00°
Fractional coordinates of all 5 atoms:
Zr  0.500  0.500  0.500
V  0.000  0.000  0.000
N  0.000  0.500  0.000
N  0.500  0.000  0.000
Te  0.000  0.000  0.500

***

(2)
First-principles (PBE) data for an optimized crystal structure of Te2WN, as listed in Alexandria.

Results
As for the space-group type: R-3m. Its uncorrected formation energy is 1507.8 meV per atom. The value obtained for the density of states at the Fermi level is 3.1 states/eV per cell.

Cell: 8.997 8.997 8.997 Å, 20.08 20.08 20.08°
Fractional coordinates of all 4 atoms:
N  0.500  0.500  0.500
Te  0.897  0.897  0.897
Te  0.103  0.103  0.103
W  0.000  0.000  0.000

***

(3)
First-principles (PBE) data for an optimized crystal structure of TeWN3, as listed in Alexandria.

Results
As for the space-group type: Pm-3m. Its uncorrected formation energy is 772.8 meV per atom. The value obtained for the density of states at the Fermi level is 4.2 states/eV per cell.

Cell: 4.001 4.001 4.001 Å, 90.00 90.00 90.00°
Fractional coordinates of all 5 atoms:
N  0.000  0.500  0.000
N  0.000  0.000  0.500
N  0.500  0.000  0.000
W  0.000  0.000  0.000
Te  0.500  0.500  0.500

***

(4)
First-principles (PBE) data for an optimized crystal structure of Te2WN, as listed in Alexandria.

Results
As for the space-group type: R-3m. Its uncorrected formation energy is 1070.6 meV per atom. The value obtained for the density of states at the Fermi level is 2.4 states/eV per cell.

Cell: 7.818 7.818 7.818 Å, 27.11 27.11 27.11°
Fractional coordinates of all 4 atoms:
Te  0.912  0.912  0.912
Te  0.088  0.088  0.088
N  0.000  0.000  0.000
W  0.500  0.500  0.500

***

(5)
First-principles (PBE) data for an optimized crystal structure of TeWN3, as listed in Alexandria.

Results
As for the space-group type: Pm-3m. Its uncorrected formation energy is 2073.5 meV per atom. The value obtained for the density of states at the Fermi level is 1.8 states/eV per cell.

Cell: 3.939 3.939 3.939 Å, 90.00 90.00 90.00°
Last column: magnetic moment on the atom in μB.
Fractional coordinates of all 5 atoms:
N  0.000  0.000  0.500  -0.08
N  0.500  0.000  0.000  -0.09
N  0.000  0.500  0.000  -0.14
W  0.500  0.500  0.500  2.37
Te  0.000  0.000  0.000  0.03

***

(6)
First-principles (PBE) data for an optimized crystal structure of Te2WN, as listed in Alexandria.

Results
As for the space-group type: I-42d. Its uncorrected formation energy is 1243.3 meV per atom. The value obtained for the density of states at the Fermi level is 8.0 states/eV per cell.

Cell: 5.751 5.751 6.858 Å, 65.21 65.21 90.00°
Fractional coordinates of all 8 atoms:
Te  0.875  0.835  0.750
Te  0.165  0.625  0.250
Te  0.375  0.415  0.750
Te  0.585  0.125  0.250
N  0.250  0.750  0.500
N  0.500  0.500  0.000
W  0.750  0.250  0.500
W  0.000  0.000  0.000